(one)
First-principles (GGA-PBE) data for a relaxed structure of La2PmPr3, as listed in Alexandria via LeMat-Bulk.

Unit cell a=5.9036 b=10.1775 c=7.1868 alpha=90.00 beta=90.00 gamma=90.00
Last column: nearest neighbours and their distance in Å.
Element x y z (fractional)
1 La 0.5000 0.1675 0.7496  5 Pr 3.39-3.60
2 Pr 0.0000 0.6677 0.2501  5 La 3.39-3.60
3 La 0.5000 0.8325 0.2504  5 Pr 3.39-3.60
4 Pr 0.5000 0.5000 0.5000  2 Pm 3.59, 6 La 3.83-3.85, 6 Pr 3.83-3.85
5 La 0.0000 0.3325 0.2496  5 Pr 3.39-3.60
6 Pr 0.5000 0.1677 0.2499  5 La 3.39-3.60
7 Pr 0.5000 0.8323 0.7501  5 La 3.39-3.60
8 Pr 0.0000 0.0000 0.0000  2 Pm 3.59, 6 La 3.83-3.85, 6 Pr 3.83-3.85
9 Pm 0.5000 0.5000 0.0000  8 Pr 3.59-3.85, 6 La 3.83-3.85
10 Pm 0.0000 0.0000 0.5000  8 Pr 3.59-3.85, 6 La 3.83-3.85
11 Pr 0.0000 0.3323 0.7499  5 La 3.39-3.60
12 La 0.0000 0.6675 0.7504  5 Pr 3.39-3.60

(two)
First-principles (GGA-PBE) data for a relaxed structure of La2PmPr3, as listed in Alexandria via LeMat-Bulk.

Unit cell a=9.0950 b=7.4234 c=7.4234 alpha=120.00 beta=90.00 gamma=90.00
Last column: nearest neighbours and their distance in Å.
Element x y z (fractional)
1 Pm 0.6655 0.3333 0.6667  9 Pr 3.69-3.71, 3 La 3.72
2 La 0.0000 0.5000 0.0000  6 La 3.71, 2 Pm 3.72, 4 Pr 3.72
3 Pr 0.3346 0.1669 0.3338  3 Pm 3.69-3.71, 6 Pr 3.70-3.72, 3 La 3.72
4 Pr 0.3346 0.6662 0.8331  3 Pm 3.69-3.71, 6 Pr 3.70-3.72, 3 La 3.72
5 Pr 0.6654 0.8331 0.6662  3 Pm 3.69-3.71, 6 Pr 3.70-3.72, 3 La 3.72
6 Pr 0.6654 0.3338 0.1669  3 Pm 3.69-3.71, 6 Pr 3.70-3.72, 3 La 3.72
7 La 0.0000 0.0000 0.5000  6 La 3.71, 2 Pm 3.72, 4 Pr 3.72
8 Pr 0.3346 0.1669 0.8331  3 Pm 3.69-3.71, 6 Pr 3.70-3.72, 3 La 3.72
9 La 0.0000 0.0000 0.0000  6 La 3.71, 6 Pr 3.72
10 Pm 0.3345 0.6667 0.3333  9 Pr 3.69-3.71, 3 La 3.72
11 Pr 0.6654 0.8331 0.1669  3 Pm 3.69-3.71, 6 Pr 3.70-3.72, 3 La 3.72
12 La 0.0000 0.5000 0.5000  6 La 3.71, 2 Pm 3.72, 4 Pr 3.72

The most stable arrangement is (two), and the next structure is 36 meV per atom less stable.